[1]
Crystalline K2HgH3Pt at its relaxed geometry, computed with GGA-PBE.

Results
Spin magnetization ... 0.00 μB/f.u.
SG ... Immm, No. 71
VASP energy ... -19.41 eV/cell
Calculated volume ... 178 Å³/cell

Unit cell a=5.219 b=3.731 c=9.673 alpha=101.12 beta=105.65 gamma=90.00
Sites, in units of the cell vectors:
1 H 0.908 0.908 0.816
2 K 0.646 0.646 0.292
3 K 0.354 0.354 0.708
4 H 0.092 0.092 0.184
5 Pt 0.000 0.000 0.000
6 Hg 0.500 0.000 0.000
7 H 0.000 0.500 0.000



[2]
Crystalline KHg2HPt at its relaxed geometry, computed with GGA-PBE.

Results
Spin magnetization ... 0.00 μB/f.u.
SG ... P4/mmm, No. 123
VASP energy ... -11.75 eV/cell
Calculated volume ... 111 Å³/cell

Unit cell a=5.476 b=5.476 c=3.717 alpha=90.00 beta=90.00 gamma=90.00
Sites, in units of the cell vectors:
1 K 0.500 0.500 0.500
2 Hg 0.000 0.500 0.000
3 H 0.000 0.000 0.500
4 Hg 0.500 0.000 0.000
5 Pt 0.000 0.000 0.000



[3]
Crystalline K2RbHgH at its relaxed geometry, computed with GGA-PBE.

Results
Spin magnetization ... 0.00 μB/f.u.
Energy above the lowest structure with this stoichiometry ... 0.072 eV per atom
SG ... P4/mmm, No. 123
Calculated volume ... 206 Å³/cell

Unit cell a=5.534 b=5.534 c=6.731 alpha=90.00 beta=90.00 gamma=90.00
Sites, in units of the cell vectors:
1 K 0.500 0.000 0.000
2 Hg 0.000 0.000 0.500
3 Rb 0.500 0.500 0.500
4 K 0.000 0.500 0.000
5 H 0.000 0.000 0.000



[4]
Crystalline KRbHgH at its relaxed geometry, computed with GGA-PBE.

Results
Spin magnetization ... 0.00 μB/f.u.
SG ... F-43m, No. 216
VASP energy ... -5.45 eV/cell
Calculated volume ... 140 Å³/cell

Unit cell a=5.831 b=5.831 c=5.831 alpha=60.00 beta=60.00 gamma=60.00
Sites, in units of the cell vectors:
1 Hg 0.750 0.750 0.750
2 Rb 0.000 0.000 0.000
3 K 0.500 0.500 0.500
4 H 0.250 0.250 0.250



[5]
Crystalline K2RbHgH at its relaxed geometry, computed with GGA-PBE.

Results
Spin magnetization ... 0.35 μB/f.u.
Energy above the lowest structure with this stoichiometry ... 0.000 eV per atom
SG ... P4/mmm, No. 123
Calculated volume ... 181 Å³/cell

Unit cell a=5.557 b=5.557 c=5.869 alpha=90.00 beta=90.00 gamma=90.00
Sites, in units of the cell vectors:
1 H 0.000 0.000 0.000
2 Hg 0.500 0.500 0.500
3 K 0.500 0.000 0.000
4 Rb 0.000 0.000 0.500
5 K 0.000 0.500 0.000



[6]
Crystalline KRb3Hg2H6 at its relaxed geometry, computed with GGA-PBE.

Results
Spin magnetization ... 0.00 μB/f.u.
SG ... P-3m1, No. 164
VASP energy ... -24.98 eV/cell
Calculated volume ... 285 Å³/cell

Unit cell a=6.292 b=6.292 c=8.304 alpha=90.00 beta=90.00 gamma=120.00
Sites, in units of the cell vectors:
1 Hg 0.333 0.667 0.212
2 Hg 0.667 0.333 0.788
3 H 0.827 0.653 0.722
4 K 0.000 0.000 0.500
5 H 0.653 0.827 0.278
6 H 0.827 0.173 0.722
7 Rb 0.333 0.667 0.729
8 H 0.347 0.173 0.722
9 H 0.173 0.827 0.278
10 Rb 0.667 0.333 0.271
11 H 0.173 0.347 0.278
12 Rb 0.000 0.000 0.000



[7]
Crystalline KRb3Hg2H8 at its relaxed geometry, computed with GGA-PBE.

Results
Spin magnetization ... 0.00 μB/f.u.
SG ... P-3m1, No. 164
VASP energy ... -32.84 eV/cell
Calculated volume ... 289 Å³/cell

Unit cell a=6.312 b=6.312 c=8.378 alpha=90.00 beta=90.00 gamma=120.00
Sites, in units of the cell vectors:
1 Rb 0.667 0.333 0.312
2 H 0.355 0.178 0.698
3 H 0.667 0.333 0.988
4 H 0.178 0.822 0.302
5 K 0.000 0.000 0.500
6 H 0.822 0.178 0.698
7 H 0.333 0.667 0.012
8 H 0.178 0.355 0.302
9 Hg 0.333 0.667 0.222
10 Hg 0.667 0.333 0.778
11 Rb 0.000 0.000 0.000
12 H 0.822 0.645 0.698
13 H 0.645 0.822 0.302
14 Rb 0.333 0.667 0.688



[8]
Crystalline KRe2HgH at its relaxed geometry, computed with GGA-PBE.

Results
Spin magnetization ... 10.00 μB/f.u.
SG ... P4/mmm, No. 123
VASP energy ... -13.00 eV/cell
Calculated volume ... 282 Å³/cell

Unit cell a=6.500 b=6.663 c=6.500 alpha=90.00 beta=90.00 gamma=90.00
Sites, in units of the cell vectors:
1 K 0.000 0.000 0.000
2 Re 0.000 0.000 0.500
3 Hg 0.000 0.500 0.000
4 H 0.500 0.500 0.500
5 Re 0.500 0.000 0.000



[9]
Crystalline K2HgH6Rh at its relaxed geometry, computed with GGA-PBE.

Results
Spin magnetization ... 0.00 μB/f.u.
SG ... P-3m1, No. 164
VASP energy ... -31.13 eV/cell
Calculated volume ... 153 Å³/cell

Unit cell a=5.282 b=5.791 c=5.791 alpha=120.00 beta=90.00 gamma=90.00
Sites, in units of the cell vectors:
1 H 0.832 0.708 0.854
2 H 0.168 0.854 0.708
3 Hg 0.500 0.000 0.000
4 H 0.832 0.146 0.292
5 Rh 0.000 0.000 0.000
6 H 0.168 0.292 0.146
7 K 0.224 0.333 0.667
8 K 0.776 0.667 0.333
9 H 0.832 0.146 0.854
10 H 0.168 0.854 0.146



[10]
Crystalline K2Hg2H4Rh at its relaxed geometry, computed with GGA-PBE.

Results
Spin magnetization ... 0.00 μB/f.u.
SG ... I4/mmm, No. 139
VASP energy ... -25.19 eV/cell
Calculated volume ... 173 Å³/cell

Unit cell a=6.134 b=6.134 c=6.134 alpha=99.07 beta=114.91 gamma=114.91
Sites, in units of the cell vectors:
1 Hg 0.000 0.326 0.326
2 Hg 0.000 0.674 0.674
3 H 0.000 0.181 0.819
4 H 0.000 0.819 0.181
5 H 0.363 0.181 0.181
6 Rh 0.000 0.000 0.000
7 K 0.500 0.750 0.250
8 H 0.637 0.819 0.819
9 K 0.500 0.250 0.750



[11]
Crystalline KHgHRh2 at its relaxed geometry, computed with GGA-PBE.

Results
Spin magnetization ... 0.61 μB/f.u.
SG ... P4/mmm, No. 123
VASP energy ... -17.38 eV/cell
Calculated volume ... 80 Å³/cell

Unit cell a=4.125 b=4.709 c=4.125 alpha=90.00 beta=90.00 gamma=90.00
Sites, in units of the cell vectors:
1 Rh 0.000 0.000 0.500
2 Hg 0.500 0.500 0.500
3 Rh 0.500 0.000 0.000
4 H 0.000 0.000 0.000
5 K 0.000 0.500 0.000



[12]
Crystalline K2HgHSe at its relaxed geometry, computed with GGA-PBE.

Results
Spin magnetization ... 0.00 μB/f.u.
SG ... P4/mmm, No. 123
VASP energy ... -11.65 eV/cell
Calculated volume ... 126 Å³/cell

Unit cell a=5.506 b=5.506 c=4.165 alpha=90.00 beta=90.00 gamma=90.00
Sites, in units of the cell vectors:
1 H 0.000 0.000 0.000
2 K 0.500 0.000 0.000
3 Se 0.500 0.500 0.500
4 K 0.000 0.500 0.000
5 Hg 0.000 0.000 0.500



Copy entry 10 word for word.
Crystalline K2Hg2H4Rh at its relaxed geometry, computed with GGA-PBE.

Results
Spin magnetization ... 0.00 μB/f.u.
SG ... I4/mmm, No. 139
VASP energy ... -25.19 eV/cell
Calculated volume ... 173 Å³/cell

Unit cell a=6.134 b=6.134 c=6.134 alpha=99.07 beta=114.91 gamma=114.91
Sites, in units of the cell vectors:
1 Hg 0.000 0.326 0.326
2 Hg 0.000 0.674 0.674
3 H 0.000 0.181 0.819
4 H 0.000 0.819 0.181
5 H 0.363 0.181 0.181
6 Rh 0.000 0.000 0.000
7 K 0.500 0.750 0.250
8 H 0.637 0.819 0.819
9 K 0.500 0.250 0.750